#1
The following is a DFT calculation (PBE) of a relaxed structure of Ca3CrN3.

```
Ca3CrN3
1.0
10.579 0.000 0.000
0.000 3.450 0.000
0.000 0.000 11.298
Ca Cr N
12 4 12
Cartesian
0.902 0.862 1.055
1.388 2.587 5.803
2.352 2.587 9.056
2.938 0.862 3.407
3.902 0.862 0.154
4.388 2.587 6.704
6.191 0.862 4.594
6.678 2.587 11.144
7.642 2.587 7.891
8.227 0.862 2.242
9.191 0.862 5.495
9.678 2.587 10.243
0.322 0.862 7.984
4.967 2.587 2.335
5.612 0.862 8.963
10.257 2.587 3.314
0.458 0.862 3.891
0.738 0.862 9.870
2.147 0.862 7.242
3.142 2.587 1.593
4.552 2.587 4.221
4.832 2.587 9.540
5.747 0.862 1.758
6.027 0.862 7.077
7.437 0.862 9.705
8.432 2.587 4.056
9.842 2.587 1.428
10.122 2.587 7.407
```

Summary:
symmetry	Pnma (62)

#2
The following is a DFT calculation (PBE) of a relaxed structure of Ca3CrN3.

```
Ca3CrN3
1.0
4.218 -5.138 0.000
4.218 5.138 0.000
0.000 0.000 5.059
Ca Cr N
6 2 6
Cartesian
4.218 4.040 3.794
2.421 1.207 3.794
2.421 -1.207 1.265
6.016 1.207 3.794
6.016 -1.207 1.265
4.218 -4.040 1.265
4.218 2.013 1.265
4.218 -2.013 3.794
4.218 3.833 1.265
2.600 1.295 1.265
2.600 -1.295 3.794
5.837 1.295 1.265
5.837 -1.295 3.794
4.218 -3.833 3.794
```

Summary:
symmetry	Cmcm (63)

Tell me which of them is the most stable. Sure, it is #2.

#1
The following is a DFT calculation (PBE) of a relaxed structure of CaCr3N.

```
CaCr3N
1.0
4.238 0.000 0.000
0.000 4.238 0.000
0.000 0.000 4.238
Ca Cr N
1 3 1
Cartesian
0.000 0.000 0.000
0.000 0.000 2.119
0.000 2.119 0.000
2.119 0.000 0.000
2.119 2.119 2.119
```

Summary:
symmetry	Pm-3m (221)

#2
The following is a DFT calculation (PBE) of a relaxed structure of CaCr3N.

```
CaCr3N
1.0
4.008 0.000 0.000
0.000 4.008 0.000
0.000 0.000 4.008
Ca Cr N
1 3 1
Cartesian
0.000 0.000 0.000
0.000 2.004 2.004
2.004 0.000 2.004
2.004 2.004 0.000
2.004 2.004 2.004
```

Summary:
symmetry	Pm-3m (221)

Tell me which of them is the most stable. Sure, it is #2.

#1
The following is a DFT calculation (PBE) of a relaxed structure of CaCrSe2N.

```
CaCrSe2N
1.0
5.118 0.000 0.000
0.000 5.118 0.000
0.000 0.000 3.602
Ca Cr Se N
1 1 2 1
Cartesian
0.000 0.000 0.000
2.559 2.559 1.801
0.000 2.559 1.801
2.559 0.000 1.801
2.559 2.559 0.000
```

Summary:
symmetry	P4/mmm (123)

#2
The following is a DFT calculation (PBE) of a relaxed structure of CaCrSe2N.

```
CaCrSe2N
1.0
5.359 0.000 0.000
0.000 5.359 0.000
0.000 0.000 4.148
Ca Cr Se N
1 1 2 1
Cartesian
0.000 0.000 0.000
2.680 2.680 2.074
0.000 2.680 0.000
2.680 0.000 0.000
0.000 0.000 2.074
```

Summary:
symmetry	P4/mmm (123)

Tell me which of them is the most stable. Sure, it is #1.